# 1
Density functional theory data (meta-GGA SCAN) for GdAl3C3 at its PBEsol-relaxed geometry.

Computed properties:
As for the energy of formation from the pure elements: -0.380 eV per atom.

Cell lengths 3.426, 3.426, 17.281 Å; angles 90.00, 90.00, 120.00 degrees
Positions (direct):
1 Gd 0.000 0.000 0.000
2 Gd 0.000 0.000 0.500
3 Al 0.333 0.667 0.134
4 Al 0.333 0.667 0.366
5 Al 0.333 0.667 0.750
6 Al 0.667 0.333 0.250
7 Al 0.667 0.333 0.634
8 Al 0.667 0.333 0.866
9 C 0.333 0.667 0.250
10 C 0.333 0.667 0.594
11 C 0.333 0.667 0.906
12 C 0.667 0.333 0.094
13 C 0.667 0.333 0.406
14 C 0.667 0.333 0.750


# 2
Density functional theory data (meta-GGA SCAN) for InCu3Se at its PBEsol-relaxed geometry.

Computed properties:
The value obtained for the uncorrected formation energy is 5.178 eV per formula unit.

Cell lengths 4.722, 4.722, 4.722 Å; angles 90.00, 90.00, 90.00 degrees
Positions (direct):
1 In 0.000 0.000 0.000
2 Cu 0.000 0.000 0.500
3 Cu 0.000 0.500 0.000
4 Cu 0.500 0.000 0.000
5 Se 0.500 0.500 0.500


# 3
Density functional theory data (meta-GGA SCAN) for CsBeN2F at its PBEsol-relaxed geometry.

Computed properties:
The value obtained for the uncorrected formation energy is 0.763 eV per formula unit.

Cell lengths 3.573, 3.573, 5.939 Å; angles 90.00, 90.00, 90.00 degrees
Positions (direct):
1 Cs 0.000 0.000 0.000
2 Be 0.500 0.500 0.500
3 N 0.000 0.500 0.500
4 N 0.500 0.000 0.500
5 F 0.500 0.500 0.000


# 4
Density functional theory data (meta-GGA SCAN) for Er2ZnRu at its PBEsol-relaxed geometry.

Computed properties:
As for the energy of formation from the pure elements: -0.507 eV per atom.

Cell lengths 4.782, 4.782, 4.782 Å; angles 60.00, 60.00, 60.00 degrees
Positions (direct):
1 Er 0.250 0.250 0.250
2 Er 0.750 0.750 0.750
3 Zn 0.000 0.000 0.000
4 Ru 0.500 0.500 0.500


# 5
Density functional theory data (meta-GGA SCAN) for AgSb3Se at its PBEsol-relaxed geometry.

Computed properties:
The value obtained for the uncorrected formation energy is 4.052 eV per formula unit.

Cell lengths 5.235, 5.235, 5.235 Å; angles 90.00, 90.00, 90.00 degrees
Positions (direct):
1 Ag 0.000 0.000 0.000
2 Sb 0.000 0.000 0.500
3 Sb 0.000 0.500 0.000
4 Sb 0.500 0.000 0.000
5 Se 0.500 0.500 0.500


# 6
Density functional theory data (meta-GGA SCAN) for Os2W at its PBEsol-relaxed geometry.

Computed properties:
The value obtained for the energy above the most stable polymorph in this dataset is 0.003 eV per atom. As for the energy of formation from the pure elements: 0.011 eV per atom.

Cell lengths 12.049, 12.049, 12.049 Å; angles 161.58, 161.58, 26.17 degrees
Positions (direct):
1 Os 0.124 0.374 0.750
2 Os 0.293 0.543 0.750
3 Os 0.374 0.124 0.250
4 Os 0.457 0.707 0.750
5 Os 0.543 0.293 0.250
6 Os 0.626 0.876 0.750
7 Os 0.707 0.457 0.250
8 Os 0.876 0.626 0.250
9 W 0.045 0.795 0.250
10 W 0.205 0.955 0.250
11 W 0.795 0.045 0.750
12 W 0.955 0.205 0.750


# 7
Density functional theory data (meta-GGA SCAN) for Y2CdPt at its PBEsol-relaxed geometry.

Computed properties:
As for the energy of formation from the pure elements: -0.920 eV per atom.

Cell lengths 4.982, 4.982, 3.593 Å; angles 90.00, 90.00, 90.00 degrees
Positions (direct):
1 Y 0.000 0.500 0.000
2 Y 0.500 0.000 0.000
3 Cd 0.000 0.000 0.500
4 Pt 0.500 0.500 0.500


# 8
Density functional theory data (meta-GGA SCAN) for La2ZnCu at its PBEsol-relaxed geometry.

Computed properties:
As for the energy of formation from the pure elements: -0.223 eV per atom.

Cell lengths 6.026, 6.026, 6.026 Å; angles 144.57, 133.40, 59.88 degrees
Positions (direct):
1 La 0.000 0.000 0.000
2 La 0.697 0.197 0.500
3 Zn 0.279 0.779 0.500
4 Cu 0.440 0.440 0.000


# 9
Density functional theory data (meta-GGA SCAN) for ScCu2Ru at its PBEsol-relaxed geometry.

Computed properties:
As for the energy of formation from the pure elements: -0.219 eV per atom.

Cell lengths 3.727, 3.727, 3.936 Å; angles 90.00, 90.00, 90.00 degrees
Positions (direct):
1 Sc 0.000 0.000 0.000
2 Cu 0.000 0.500 0.500
3 Cu 0.500 0.000 0.500
4 Ru 0.500 0.500 0.000


# 10
Density functional theory data (meta-GGA SCAN) for Cs3HgH at its PBEsol-relaxed geometry.

Computed properties:
For the raw total energy, the calculation gives -185.93 eV/f.u.

Cell lengths 5.943, 5.943, 5.943 Å; angles 90.00, 90.00, 90.00 degrees
Positions (direct):
1 Cs 0.000 0.000 0.500
2 Cs 0.000 0.500 0.000
3 Cs 0.500 0.000 0.000
4 Hg 0.500 0.500 0.500
5 H 0.000 0.000 0.000


# 11
Density functional theory data (meta-GGA SCAN) for LaTaMo2 at its PBEsol-relaxed geometry.

Computed properties:
The value obtained for the energy above the most stable polymorph in this dataset is 0.202 eV per atom. As for the energy of formation from the pure elements: 0.579 eV per atom.

Cell lengths 9.173, 9.173, 9.173 Å; angles 19.65, 19.65, 19.65 degrees
Positions (direct):
1 La 0.000 0.000 0.000
2 Ta 0.500 0.500 0.500
3 Mo 0.241 0.241 0.241
4 Mo 0.759 0.759 0.759


# 12
Density functional theory data (meta-GGA SCAN) for SrTiOs2 at its PBEsol-relaxed geometry.

Computed properties:
As for the energy of formation from the pure elements: 0.574 eV per atom.

Cell lengths 4.592, 4.592, 4.592 Å; angles 60.00, 60.00, 60.00 degrees
Positions (direct):
1 Sr 0.000 0.000 0.000
2 Ti 0.500 0.500 0.500
3 Os 0.250 0.250 0.250
4 Os 0.750 0.750 0.750